# 1
{"formula": "Mg3Os", "functional": "GGA-PBE", "state": "optimized geometry", "total_magnetization_mub_per_atom": 0.1049, "formation_enthalpy_0k_ev_per_atom": 0.241, "lattice_angstrom": [[5.190, -0.002, 0.000], [-2.080, 4.755, 0.000], [0.000, 0.000, 2.833]], "species": ["Mg", "Mg", "Mg", "Os"], "frac_coords": [[0.000, 0.500, 0.500], [0.500, 0.000, 0.500], [0.500, 0.500, 0.000], [0.000, 0.000, 0.000]]}

***

# 2
{"formula": "UO2F2", "functional": "GGA-PBE", "state": "optimized geometry", "relative_energy_mev_per_atom": 0.0, "total_magnetization_mub_per_atom": 0.0000, "e_form_raw_mev_per_atom": -3219.3, "lattice_angstrom": [[-1.041, 5.491, -2.493], [-0.168, 2.640, -5.518], [-4.018, 2.723, -3.726]], "species": ["F", "F", "U", "O", "O"], "frac_coords": [[0.335, 0.335, 0.335], [0.665, 0.665, 0.665], [0.000, 0.000, 0.000], [0.106, 0.106, 0.106], [0.894, 0.894, 0.894]]}

***

# 3
{"formula": "La3AlCu8", "functional": "GGA-PBE", "state": "optimized geometry", "total_magnetization_mub_per_atom": 0.0000, "formation_enthalpy_0k_ev_per_atom": -0.119, "lattice_angstrom": [[-1.221, 2.808, -4.316], [2.112, -1.287, -4.678], [-6.373, -4.784, -4.553]], "species": ["Al", "Cu", "Cu", "Cu", "Cu", "Cu", "Cu", "Cu", "Cu", "La", "La", "La"], "frac_coords": [[0.871, 0.871, 0.387], [0.449, 0.937, 0.677], [0.432, 0.941, 0.195], [0.432, 0.432, 0.195], [0.189, 0.189, 0.434], [0.937, 0.449, 0.677], [0.688, 0.688, 0.936], [0.941, 0.432, 0.195], [0.937, 0.937, 0.677], [0.502, 0.502, 0.494], [0.995, 0.995, 0.014], [0.377, 0.377, 0.868]]}

***

# 4
{"formula": "AlIrSe2", "functional": "GGA-PBE", "state": "optimized geometry", "total_magnetization_mub_per_atom": 0.0000, "e_form_raw_mev_per_atom": 99.5, "lattice_angstrom": [[5.651, -0.004, 0.004], [2.531, 5.052, -0.004], [-3.267, -3.859, 2.523]], "species": ["Ir", "Al", "Se", "Se"], "frac_coords": [[0.254, 0.754, 0.500], [0.479, 0.479, 0.000], [0.728, 0.228, 0.500], [0.039, 0.039, 0.000]]}

***

# 5
{"formula": "Zr2AlP", "functional": "GGA-PBE", "state": "optimized geometry", "relative_energy_mev_per_atom": 321.4, "total_magnetization_mub_per_atom": 0.0000, "formation_enthalpy_0k_ev_per_atom": -0.520, "lattice_angstrom": [[7.281, 0.000, 0.000], [0.000, 7.281, 0.000], [3.641, 3.641, 2.983]], "species": ["Zr", "Zr", "Zr", "Zr", "P", "P", "Al", "Al"], "frac_coords": [[0.100, 0.625, 0.250], [0.375, 0.350, 0.750], [0.650, 0.125, 0.250], [0.875, 0.900, 0.750], [0.750, 0.250, 0.500], [0.000, 0.000, 0.000], [0.500, 0.500, 0.000], [0.250, 0.750, 0.500]]}

***

# 6
{"formula": "Sc6CdPt5", "functional": "GGA-PBE", "state": "optimized geometry", "total_magnetization_mub_per_atom": 0.0000, "formation_enthalpy_0k_ev_per_atom": -1.079, "lattice_angstrom": [[4.519, 0.004, -1.391], [-0.725, 6.142, -2.341], [0.042, -0.440, 8.174]], "species": ["Pt", "Pt", "Pt", "Pt", "Pt", "Sc", "Sc", "Sc", "Sc", "Sc", "Sc", "Cd"], "frac_coords": [[0.656, 0.156, 0.312], [0.000, 0.500, 0.000], [0.672, 0.672, 0.343], [0.328, 0.328, 0.657], [0.344, 0.844, 0.688], [0.171, 0.914, 0.343], [0.500, 0.264, 0.000], [0.500, 0.736, 0.000], [0.829, 0.572, 0.657], [0.171, 0.428, 0.343], [0.829, 0.086, 0.657], [0.000, 0.000, 0.000]]}

***

# 7
{"formula": "Cd2W", "functional": "GGA-PBE", "state": "optimized geometry", "relative_energy_mev_per_atom": 362.4, "total_magnetization_mub_per_atom": 0.2184, "formation_enthalpy_0k_ev_per_atom": 0.805, "lattice_angstrom": [[4.842, 0.000, 0.000], [-2.421, 4.193, 0.000], [0.000, 0.000, 2.796]], "species": ["Cd", "Cd", "W"], "frac_coords": [[0.667, 0.333, 0.499], [0.333, 0.667, 0.501], [0.000, 0.000, 0.000]]}

***

# 8
{"formula": "TaHg2Pb", "functional": "GGA-PBE", "state": "optimized geometry", "total_magnetization_mub_per_atom": 0.0000, "formation_enthalpy_0k_ev_per_atom": 0.580, "lattice_angstrom": [[-3.549, 2.638, 1.889], [-2.654, -1.363, -3.083], [-1.156, -3.318, 2.462]], "species": ["Ta", "Hg", "Hg", "Pb"], "frac_coords": [[0.500, 0.000, 0.500], [0.000, 0.500, 0.500], [0.000, 0.000, 0.000], [0.500, 0.500, 0.000]]}

***

# 9
{"formula": "ZrNi2HIr", "functional": "GGA-PBE", "state": "optimized geometry", "relative_energy_mev_per_atom": 34.7, "total_magnetization_mub_per_atom": 0.0000, "lattice_angstrom": [[3.779, 0.000, 0.000], [0.000, 3.779, 0.000], [0.000, 0.000, 4.162]], "species": ["Ir", "Ni", "Ni", "H", "Zr"], "frac_coords": [[0.500, 0.500, 0.500], [0.000, 0.500, 0.000], [0.500, 0.000, 0.000], [0.000, 0.000, 0.000], [0.000, 0.000, 0.500]]}

***

# 10
{"formula": "Ba2ErGe3Pd4", "functional": "GGA-PBE", "state": "optimized geometry", "total_magnetization_mub_per_atom": 0.0000, "formation_enthalpy_0k_ev_per_atom": -0.711, "lattice_angstrom": [[-0.893, -4.410, 0.126], [0.692, -0.013, 4.448], [-10.815, 2.239, 1.690]], "species": ["Ge", "Ge", "Ge", "Pd", "Pd", "Pd", "Pd", "Ba", "Ba", "Er"], "frac_coords": [[0.500, 0.000, 0.887], [0.000, 0.000, 0.500], [0.000, 0.500, 0.113], [0.000, 0.000, 0.000], [0.000, 0.500, 0.351], [0.500, 0.000, 0.649], [0.500, 0.500, 0.000], [0.500, 0.000, 0.234], [0.000, 0.500, 0.766], [0.500, 0.500, 0.500]]}

***

# 11
{"formula": "CsKI2O", "functional": "GGA-PBE", "state": "optimized geometry", "relative_energy_mev_per_atom": 0.0, "total_magnetization_mub_per_atom": 0.4138, "e_form_raw_mev_per_atom": -664.0, "lattice_angstrom": [[6.763, 0.000, 0.000], [0.000, 6.763, 0.000], [0.000, 0.000, 5.310]], "species": ["I", "I", "K", "O", "Cs"], "frac_coords": [[0.500, 0.000, 0.000], [0.000, 0.500, 0.000], [0.000, 0.000, 0.000], [0.000, 0.000, 0.500], [0.500, 0.500, 0.500]]}

***

# 12
{"formula": "Sr6HRh2", "functional": "GGA-PBE", "state": "optimized geometry", "total_magnetization_mub_per_atom": 0.0000, "e_tot_ev_per_cell": -60.889, "lattice_angstrom": [[-0.698, 4.510, -5.251], [-6.106, 3.495, 3.814], [6.497, 6.463, 4.480]], "species": ["Sr", "Sr", "Sr", "Sr", "Sr", "Sr", "Sr", "Sr", "Sr", "Sr", "Sr", "Sr", "H", "H", "Rh", "Rh", "Rh", "Rh"], "frac_coords": [[0.823, 0.665, 0.067], [0.338, 0.823, 0.930], [0.177, 0.335, 0.933], [0.838, 0.677, 0.430], [0.640, 0.454, 0.756], [0.140, 0.046, 0.256], [0.323, 0.835, 0.567], [0.860, 0.954, 0.744], [0.360, 0.546, 0.244], [0.677, 0.165, 0.433], [0.662, 0.177, 0.070], [0.162, 0.323, 0.570], [0.500, 0.500, 0.000], [0.000, 0.000, 0.500], [0.039, 0.615, 0.755], [0.539, 0.885, 0.255], [0.461, 0.115, 0.745], [0.961, 0.385, 0.245]]}